First-principles (GGA-PBE) data for an optimized crystal structure of Bi2Sb2Pb, as listed in Alexandria.

a = 8.7192 Å, b = 8.7192 Å, c = 4.1657 Å
α = 90.00°, β = 90.00°, γ = 90.00°
Last column: nearest neighbours and their distance in Å.
Fractional coordinates of all 10 atoms:
Bi (0.6603, 0.8397, 0.5000)  6 Sb 3.10-3.44
Bi (0.3397, 0.1603, 0.5000)  6 Sb 3.10-3.44
Bi (0.1603, 0.6603, 0.5000)  6 Sb 3.10-3.44
Bi (0.8397, 0.3397, 0.5000)  6 Sb 3.10-3.44
Sb (0.6531, 0.1531, 0.0000)  6 Bi 3.10-3.44, 2 Pb 3.31
Sb (0.3469, 0.8469, 0.0000)  6 Bi 3.10-3.44, 2 Pb 3.31
Sb (0.8469, 0.6531, 0.0000)  6 Bi 3.10-3.44, 2 Pb 3.31
Sb (0.1531, 0.3469, 0.0000)  6 Bi 3.10-3.44, 2 Pb 3.31
Pb (0.0000, 0.0000, 0.0000)  4 Sb 3.31
Pb (0.5000, 0.5000, 0.0000)  4 Sb 3.31

raw formation energy = 124 meV per atom
VASP energy = -3.8191 eV/atom
polymorph energy (0 for the lowest one) = 0.37 eV/f.u.
crystal system = tetragonal